A:
First-principles (PBE-GGA) data for a relaxed structure of Ba3CdAu3, as listed in the Alexandria database.

Cell and atoms, written as POSCAR:
```
Ba3CdAu3
1.0
9.8514 0.0000 0.0000
-4.9257 8.5316 0.0000
0.0000 0.0000 6.6068
Ba Cd Au
6 2 6
direct
0.0545 0.3589 0.2500
0.3044 0.9455 0.2500
0.3589 0.3044 0.7500
0.6411 0.6956 0.2500
0.6956 0.0545 0.7500
0.9455 0.6411 0.7500
0.3333 0.6667 0.7500
0.6667 0.3333 0.2500
0.0532 0.3683 0.7500
0.3151 0.9468 0.7500
0.3683 0.3151 0.2500
0.6317 0.6849 0.7500
0.6849 0.0532 0.2500
0.9468 0.6317 0.2500
```

Values from the calculation:
For the theoretical density, the calculation gives 6.7 g cm⁻³.



B:
First-principles (PBE-GGA) data for a relaxed structure of Ba3CdAu3, as listed in the Alexandria database.

Cell and atoms, written as POSCAR:
```
Ba3CdAu3
1.0
6.2809 -2.3691 0.0000
6.2809 2.3691 0.0000
-5.7299 0.0000 15.5173
Ba Cd Au
6 2 6
direct
0.0293 0.0293 0.3856
0.1006 0.1006 0.9227
0.2421 0.2421 0.2318
0.7579 0.7579 0.7682
0.8994 0.8994 0.0773
0.9707 0.9707 0.6144
0.2581 0.2581 0.5955
0.7419 0.7419 0.4045
0.3749 0.3749 0.4566
0.3868 0.3868 0.9219
0.4635 0.4635 0.7653
0.5365 0.5365 0.2347
0.6132 0.6132 0.0781
0.6251 0.6251 0.5434
```

Values from the calculation:
For the theoretical density, the calculation gives 8.0 g cm⁻³.



Which one is most stable, and which one is least stable? B is the most stable of them, while A is the least stable.